Record 1
Compound: Pr2Dy3Tm6
Source: Alexandria via LeMat-Bulk
Functional: PBE
Structure: optimized geometry

Values from the calculation:
Polymorph energy (0 for the lowest one) ... 1.92 kcal/mol of atoms
Crystal system ... tetragonal
ρ ... 8069 kg/m3
DFT total energy ... -4.294 eV/atom
Space-group type ... I4/mmm
Density of states at the Fermi level ... 17.2 states/eV per cell
V ... 33.35 A^3/atom
ΔE_f ... 2.96 eV per formula unit

a = 4.713 Å, b = 4.713 Å, c = 16.850 Å
α = 98.04°, β = 98.04°, γ = 90.00°
Positions (direct):
Tm 0.694 0.694 0.389
Tm 0.123 0.623 0.246
Tm 0.877 0.377 0.754
Tm 0.377 0.877 0.754
Tm 0.623 0.123 0.246
Tm 0.306 0.306 0.611
Dy 0.000 0.000 0.000
Dy 0.797 0.797 0.595
Dy 0.203 0.203 0.405
Pr 0.453 0.453 0.907
Pr 0.547 0.547 0.093

=====

Record 2
Compound: SrNdP2Pd2
Source: Alexandria via LeMat-Bulk
Functional: PBE
Structure: optimized geometry

Values from the calculation:
Crystal system ... trigonal
ρ ... 6572 kg/m3
DFT total energy ... -5.752 eV/atom
Space-group type ... P-3m1
Density of states at the Fermi level ... 1.8 states/eV per cell
V ... 21.34 A^3/atom
ΔE_f ... -6.86 eV per formula unit

a = 4.202 Å, b = 4.202 Å, c = 8.371 Å
α = 90.00°, β = 90.00°, γ = 120.00°
Positions (direct):
P 0.667 0.333 0.732
P 0.333 0.667 0.268
Pd 0.667 0.333 0.259
Pd 0.333 0.667 0.741
Sr 0.000 0.000 0.000
Nd 0.000 0.000 0.500

=====

Record 3
Compound: Pr3MgHg
Source: Alexandria via LeMat-Bulk
Functional: PBE
Structure: optimized geometry

Values from the calculation:
Polymorph energy (0 for the lowest one) ... 2.08 kcal/mol of atoms
Crystal system ... monoclinic
ρ ... 6823 kg/m3
DFT total energy ... -3.365 eV/atom
Space-group type ... C2/c
Density of states at the Fermi level ... 24.6 states/eV per cell
V ... 31.52 A^3/atom
ΔE_f ... -0.59 eV per formula unit

a = 7.038 Å, b = 7.038 Å, c = 15.253 Å
α = 85.01°, β = 85.01°, γ = 56.98°
Positions (direct):
Pr 0.139 0.479 0.900
Pr 0.640 0.008 0.796
Pr 0.175 0.944 0.885
Pr 0.861 0.521 0.100
Pr 0.479 0.139 0.400
Pr 0.008 0.640 0.296
Pr 0.944 0.175 0.385
Pr 0.056 0.825 0.615
Pr 0.992 0.360 0.704
Pr 0.521 0.861 0.600
Pr 0.825 0.056 0.115
Pr 0.360 0.992 0.204
Hg 0.000 0.500 0.500
Hg 0.456 0.544 0.750
Hg 0.500 0.000 0.000
Hg 0.544 0.456 0.250
Mg 0.670 0.429 0.918
Mg 0.429 0.670 0.418
Mg 0.571 0.330 0.582
Mg 0.330 0.571 0.082

=====

Record 4
Compound: Pm12Ni6Ge
Source: Alexandria via LeMat-Bulk
Functional: PBE
Structure: optimized geometry

Values from the calculation:
Polymorph energy (0 for the lowest one) ... 3.29 kcal/mol of atoms
Crystal system ... trigonal
ρ ... 6649 kg/m3
DFT total energy ... -5.223 eV/atom
Space-group type ... R-3
Density of states at the Fermi level ... 18.4 states/eV per cell
V ... 28.46 A^3/atom
ΔE_f ... -2.93 eV per formula unit

a = 8.279 Å, b = 8.279 Å, c = 8.279 Å
α = 99.57°, β = 99.57°, γ = 99.57°
Positions (direct):
Pm 0.817 0.596 0.427
Pm 0.573 0.183 0.404
Pm 0.183 0.404 0.573
Pm 0.672 0.895 0.067
Pm 0.328 0.105 0.933
Pm 0.427 0.817 0.596
Pm 0.596 0.427 0.817
Pm 0.105 0.933 0.328
Pm 0.895 0.067 0.672
Pm 0.067 0.672 0.895
Pm 0.933 0.328 0.105
Pm 0.404 0.573 0.183
Ge 0.000 0.000 0.000
Ni 0.389 0.668 0.865
Ni 0.611 0.332 0.135
Ni 0.668 0.865 0.389
Ni 0.865 0.389 0.668
Ni 0.135 0.611 0.332
Ni 0.332 0.135 0.611

=====

Record 5
Compound: CoRuCl3
Source: Alexandria via LeMat-Bulk
Functional: PBE
Structure: optimized geometry

Values from the calculation:
Polymorph energy (0 for the lowest one) ... 16.88 kcal/mol of atoms
Crystal system ... cubic
ρ ... 4273 kg/m3
DFT total energy ... -3.900 eV/atom
Space-group type ... Pm-3m
Density of states at the Fermi level ... 7.9 states/eV per cell
V ... 20.70 A^3/atom

a = 4.695 Å, b = 4.695 Å, c = 4.695 Å
α = 90.00°, β = 90.00°, γ = 90.00°
Each line ends with the local moment (μB).
Positions (direct):
Cl 0.500 0.000 0.000  0.09
Cl 0.000 0.500 0.000  0.11
Cl 0.000 0.000 0.500  0.09
Ru 0.500 0.500 0.500  2.83
Co 0.000 0.000 0.000  2.01

=====

Record 6
Compound: SrSbTe2W
Source: Alexandria via LeMat-Bulk
Functional: PBE
Structure: optimized geometry

Values from the calculation:
Polymorph energy (0 for the lowest one) ... 0.00 kcal/mol of atoms
Crystal system ... tetragonal
ρ ... 6775 kg/m3
DFT total energy ... -4.986 eV/atom
Space-group type ... P4/mmm
Density of states at the Fermi level ... 4.7 states/eV per cell
V ... 31.79 A^3/atom

a = 5.520 Å, b = 5.520 Å, c = 5.217 Å
α = 90.00°, β = 90.00°, γ = 90.00°
Each line ends with the local moment (μB).
Positions (direct):
Sb 0.000 0.000 0.500  -0.01
Te 0.500 0.000 0.000  0.00
Te 0.000 0.500 0.000  0.00
W 0.000 0.000 0.000  0.45
Sr 0.500 0.500 0.500  0.01

=====

Record 7
Compound: NdTmNbN3
Source: Alexandria via LeMat-Bulk
Functional: PBE
Structure: optimized geometry

Values from the calculation:
Crystal system ... monoclinic
ρ ... 8929 kg/m3
DFT total energy ... -8.758 eV/atom
Space-group type ... P2_1/m
Density of states at the Fermi level ... 4.7 states/eV per cell
V ... 13.89 A^3/atom

a = 3.399 Å, b = 5.834 Å, c = 8.626 Å
α = 102.98°, β = 90.00°, γ = 90.00°
Positions (direct):
N 0.250 0.960 0.834
N 0.250 0.763 0.481
N 0.750 0.237 0.519
N 0.250 0.435 0.828
N 0.750 0.565 0.172
N 0.750 0.040 0.166
Nb 0.250 0.133 0.638
Nb 0.750 0.867 0.362
Nd 0.750 0.650 0.689
Nd 0.250 0.350 0.311
Tm 0.750 0.232 0.954
Tm 0.250 0.768 0.046

=====

Record 8
Compound: Nd2MgSn9
Source: Alexandria via LeMat-Bulk
Functional: PBE
Structure: optimized geometry

Values from the calculation:
Crystal system ... tetragonal
ρ ... 7117 kg/m3
DFT total energy ... -4.269 eV/atom
Space-group type ... P4/mmm
Density of states at the Fermi level ... 4.2 states/eV per cell
V ... 26.85 A^3/atom
ΔE_f ... -4.07 eV per formula unit

a = 4.681 Å, b = 4.681 Å, c = 14.705 Å
α = 90.00°, β = 90.00°, γ = 90.00°
Positions (direct):
Sn 0.500 0.500 0.327
Sn 0.000 0.500 0.500
Sn 0.500 0.000 0.840
Sn 0.000 0.500 0.160
Sn 0.500 0.000 0.160
Sn 0.500 0.500 0.673
Sn 0.000 0.500 0.840
Sn 0.500 0.000 0.500
Sn 0.500 0.500 0.000
Nd 0.000 0.000 0.338
Nd 0.000 0.000 0.662
Mg 0.000 0.000 0.000